Compound: InMoCl2
Source: the Alexandria database
Functional: SCAN
Structure: PBEsol geometry

Computed properties:
The value obtained for the relative energy among the computed polymorphs is 0.580 eV per formula unit. Its crystal system is tetragonal. The uncorrected formation energy is -154 meV/atom.

a = 3.0846 Å, b = 3.0846 Å, c = 8.0851 Å
α = 90.00°, β = 90.00°, γ = 90.00°
Positions (direct):
In: 0.0000 0.0000 0.0000
Mo: 0.5000 0.5000 0.2423
Cl: 0.0000 0.0000 0.4127
Cl: 0.5000 0.5000 0.7727


Compound: InMoCl2
Source: the Alexandria database
Functional: SCAN
Structure: PBEsol geometry

Computed properties:
The value obtained for the relative energy among the computed polymorphs is 1.289 eV per formula unit. Its crystal system is orthorhombic. The uncorrected formation energy is 23 meV/atom.

a = 2.9699 Å, b = 4.0291 Å, c = 6.5574 Å
α = 90.00°, β = 90.00°, γ = 90.00°
Positions (direct):
In: 0.0000 0.0000 0.0000
Mo: 0.5000 0.0000 0.5000
Cl: 0.5000 0.5000 0.2865
Cl: 0.5000 0.5000 0.7135